{"formula": "PrTiAg2", "functional": "PBE-GGA", "state": "optimized geometry", "sg": "P4/mmm (123)", "m_tot_mub_per_atom": 0.29, "mass_density_g_cm3": 7.7, "dft_energy_ev_per_atom": -4.582, "formation_enthalpy_0k_ev_per_fu": 0.050, "cell": [[3.4278, 0.0000, 0.0000], [0.0000, 3.4278, 0.0000], [0.0000, 0.0000, 7.4400]], "species": ["Pr", "Ag", "Ag", "Ti"], "frac_coords": [[0.5000, 0.5000, 0.5000], [0.0000, 0.0000, 0.7993], [0.0000, 0.0000, 0.2007], [0.5000, 0.5000, 0.0000]]}